[1]
A PBEsol-optimized structure of RbBaSn3, computed with meta-GGA SCAN.

a = 6.2159 Å, b = 6.2159 Å, c = 6.2159 Å
α = 90.00°, β = 90.00°, γ = 90.00°
Last column: nearest neighbours and their distance in Å.
Space group Pm-3m (No. 221)
Symmetry-distinct sites (fractional):
1 Rb 0.0000 0.0000 0.0000 (multiplicity 1)  12 Sn 4.40
2 Ba 0.5000 0.5000 0.5000 (multiplicity 1)  6 Sn 3.11
3 Sn 0.0000 0.5000 0.5000 (multiplicity 3)  2 Ba 3.11

**Crystal system**: cubic
**E**: -165.43 eV per cell
**Formation energy from the elements**: 0.525 eV/atom
**ρ**: 4003 kg/m3



[2]
A PBEsol-optimized structure of Cs2ZrMnMo4O16, computed with meta-GGA SCAN.

a = 18.8383 Å, b = 5.8278 Å, c = 10.0932 Å
α = 90.00°, β = 122.20°, γ = 90.00°
Last column: nearest neighbours and their distance in Å.
Space group C2/m (No. 12)
Symmetry-distinct sites (fractional):
1 Cs 0.2441 0.0000 0.2339 (multiplicity 4)  12 O 3.12-3.49
2 Zr 0.0000 0.5000 0.5000 (multiplicity 2)  6 O 2.06-2.08
3 Mn 0.0000 0.0000 0.0000 (multiplicity 2)  6 O 2.07-2.11
4 Mo 0.1109 0.5000 0.9474 (multiplicity 4)  4 O 1.73-1.82
5 Mo 0.1142 0.0000 0.4446 (multiplicity 4)  4 O 1.71-1.80
6 O 0.0756 0.5000 0.7404 (multiplicity 4)  1 Mo 1.82
7 O 0.0769 0.2505 0.9960 (multiplicity 8)  1 Mo 1.76
8 O 0.0781 0.2530 0.4942 (multiplicity 8)  1 Mo 1.80
9 O 0.0799 0.0000 0.2464 (multiplicity 4)  1 Mo 1.74
10 O 0.2192 0.5000 0.0562 (multiplicity 4)  1 Mo 1.73
11 O 0.2217 0.0000 0.5502 (multiplicity 4)  1 Mo 1.71

**Crystal system**: monoclinic
**E**: -843.85 eV per cell
**Uncorrected formation energy**: -2421 meV per atom
**ρ**: 3725 kg/m3



[3]
A PBEsol-optimized structure of MnFeRh3, computed with meta-GGA SCAN.

a = 4.3557 Å, b = 4.3557 Å, c = 4.3557 Å
α = 90.00°, β = 90.00°, γ = 90.00°
Last column: nearest neighbours and their distance in Å.
Space group Pm-3m (No. 221)
Symmetry-distinct sites (fractional):
1 Mn 0.0000 0.0000 0.0000 (multiplicity 1)  12 Rh 3.08
2 Fe 0.5000 0.5000 0.5000 (multiplicity 1)  6 Rh 2.18
3 Rh 0.0000 0.5000 0.5000 (multiplicity 3)  2 Fe 2.18

**Crystal system**: cubic
**E**: -133.87 eV per cell
**Formation energy from the elements**: 0.767 eV/atom
**ρ**: 8430 kg/m3



[4]
A PBEsol-optimized structure of SrCdSbI2, computed with meta-GGA SCAN.

a = 5.7589 Å, b = 5.7589 Å, c = 5.5831 Å
α = 90.00°, β = 90.00°, γ = 90.00°
Last column: nearest neighbours and their distance in Å.
Space group P4/mmm (No. 123)
Symmetry-distinct sites (fractional):
1 Sr 0.0000 0.0000 0.0000 (multiplicity 1)  8 I 4.01, 4 Sb 4.07
2 Cd 0.5000 0.5000 0.5000 (multiplicity 1)  2 Sb 2.79, 4 I 2.88
3 Sb 0.5000 0.5000 0.0000 (multiplicity 1)  2 Cd 2.79
4 I 0.0000 0.5000 0.5000 (multiplicity 2)  2 Cd 2.88

**Crystal system**: tetragonal
**E**: -165.59 eV per cell
**Uncorrected formation energy**: -432 meV per atom
**ρ**: 5162 kg/m3



[5]
A PBEsol-optimized structure of KLiEr2Mo4O16, computed with meta-GGA SCAN.

a = 5.1289 Å, b = 12.3806 Å, c = 19.3140 Å
α = 90.00°, β = 93.62°, γ = 90.00°
Last column: nearest neighbours and their distance in Å.
Space group C2/c (No. 15)
Symmetry-distinct sites (fractional):
1 K 0.0000 0.0329 0.2500 (multiplicity 4)  4 O 2.63-2.65
2 Li 0.0000 0.3150 0.2500 (multiplicity 4)  4 O 2.00-2.03
3 Er 0.0016 0.1469 0.4685 (multiplicity 8)  8 O 2.24-2.43
4 Mo 0.0102 0.2543 0.6463 (multiplicity 8)  4 O 1.73-1.85
5 Mo 0.0172 0.4380 0.0919 (multiplicity 8)  4 O 1.74-1.84
6 O 0.1170 0.4099 0.3298 (multiplicity 8)  1 Mo 1.74
7 O 0.1374 0.1343 0.8296 (multiplicity 8)  1 Mo 1.74
8 O 0.1655 0.3307 0.0414 (multiplicity 8)  1 Mo 1.84
9 O 0.1843 0.2365 0.5664 (multiplicity 8)  1 Mo 1.85
10 O 0.2250 0.4495 0.6010 (multiplicity 8)  1 Mo 1.76
11 O 0.2275 0.2938 0.7138 (multiplicity 8)  1 Mo 1.73
12 O 0.2368 0.0187 0.5366 (multiplicity 8)  1 Mo 1.82
13 O 0.2495 0.1523 0.1305 (multiplicity 8)  1 Mo 1.78

**Crystal system**: monoclinic
**E**: -1657.17 eV per cell
**Uncorrected formation energy**: -2652 meV per atom
**ρ**: 5537 kg/m3



[6]
A PBEsol-optimized structure of SrBeI2, computed with meta-GGA SCAN.

a = 5.6157 Å, b = 5.6157 Å, c = 19.2742 Å
α = 90.00°, β = 90.00°, γ = 90.00°
Last column: nearest neighbours and their distance in Å.
Space group I-42d (No. 122)
Symmetry-distinct sites (fractional):
1 Sr 0.0000 0.0000 0.0000 (multiplicity 4)  4 I 3.19
2 Be 0.0000 0.0000 0.5000 (multiplicity 4)  4 I 3.06
3 I 0.2241 0.2500 0.6250 (multiplicity 8)  2 Be 3.06, 2 Sr 3.19

**Crystal system**: tetragonal
**E**: -404.37 eV per cell
**Uncorrected formation energy**: -245 meV per atom
**ρ**: 3829 kg/m3



[7]
A PBEsol-optimized structure of KSr2Mn, computed with meta-GGA SCAN.

a = 5.9264 Å, b = 5.9264 Å, c = 4.5433 Å
α = 90.00°, β = 90.00°, γ = 90.00°
Last column: nearest neighbours and their distance in Å.
Space group P4/mmm (No. 123)
Symmetry-distinct sites (fractional):
1 K 0.0000 0.0000 0.0000 (multiplicity 1)  8 Sr 3.73
2 Sr 0.0000 0.5000 0.5000 (multiplicity 2)  4 Mn 3.73, 4 K 3.73
3 Mn 0.5000 0.5000 0.0000 (multiplicity 1)  8 Sr 3.73

**ΔE to the lowest computed polymorph**: 8.9 kJ per mole of atoms
**Crystal system**: tetragonal
**E**: -69.59 eV per cell
**Formation energy from the elements**: 0.387 eV/atom
**ρ**: 2802 kg/m3



[8]
A PBEsol-optimized structure of Y3PPd, computed with meta-GGA SCAN.

a = 5.1373 Å, b = 5.1373 Å, c = 5.1373 Å
α = 90.00°, β = 90.00°, γ = 90.00°
Last column: nearest neighbours and their distance in Å.
Space group Pm-3m (No. 221)
Symmetry-distinct sites (fractional):
1 Y 0.0000 0.0000 0.5000 (multiplicity 3)  2 P 2.57
2 P 0.0000 0.0000 0.0000 (multiplicity 1)  6 Y 2.57
3 Pd 0.5000 0.5000 0.5000 (multiplicity 1)  12 Y 3.63

**Crystal system**: cubic
**E**: -129.33 eV per cell
**Formation energy from the elements**: -0.525 eV/atom
**ρ**: 4949 kg/m3



[9]
A PBEsol-optimized structure of NaAlCl2, computed with meta-GGA SCAN.

a = 4.5028 Å, b = 4.5028 Å, c = 24.0229 Å
α = 90.00°, β = 90.00°, γ = 120.00°
Last column: nearest neighbours and their distance in Å.
Space group R-3m (No. 166, hexagonal axes)
Symmetry-distinct sites (fractional):
1 Na 0.0000 0.0000 0.0000 (multiplicity 3)  2 Cl 2.48
2 Al 0.0000 0.0000 0.5000 (multiplicity 3)  6 Cl 3.01
3 Cl 0.0000 0.0000 0.1034 (multiplicity 6)  1 Na 2.48

**ΔE to the lowest computed polymorph**: 30.5 kJ per mole of atoms
**Crystal system**: trigonal
**E**: -93.40 eV per cell
**Uncorrected formation energy**: -803 meV per atom
**ρ**: 1428 kg/m3



[10]
A PBEsol-optimized structure of Ta2CrMo, computed with meta-GGA SCAN.

a = 3.1325 Å, b = 4.4045 Å, c = 8.9366 Å
α = 90.00°, β = 90.00°, γ = 90.00°
Last column: nearest neighbours and their distance in Å.
Space group Imm2 (No. 44)
Symmetry-distinct sites (fractional):
1 Ta 0.0000 0.0000 0.0000 (multiplicity 2)  4 Mo 2.71, 2 Cr 2.71, 2 Ta 2.83
2 Ta 0.0000 0.5000 0.2356 (multiplicity 2)  4 Cr 2.70, 2 Mo 2.75, 2 Ta 2.83
3 Cr 0.0000 0.5000 0.7475 (multiplicity 2)  2 Mo 2.62, 6 Ta 2.70-2.71
4 Mo 0.0000 0.0000 0.4822 (multiplicity 2)  2 Cr 2.62, 6 Ta 2.71-2.75

**Crystal system**: orthorhombic
**E**: -373.42 eV per cell
**Formation energy from the elements**: -0.069 eV/atom
**ρ**: 13732 kg/m3



[11]
A PBEsol-optimized structure of HfTe2MoPt, computed with meta-GGA SCAN.

a = 5.1120 Å, b = 5.1120 Å, c = 4.7606 Å
α = 90.00°, β = 90.00°, γ = 90.00°
Last column: nearest neighbours and their distance in Å.
Space group P4/mmm (No. 123)
Symmetry-distinct sites (fractional):
1 Hf 0.0000 0.0000 0.0000 (multiplicity 1)  8 Te 3.49, 4 Pt 3.61
2 Te 0.0000 0.5000 0.5000 (multiplicity 2)  2 Mo 2.56
3 Mo 0.5000 0.5000 0.5000 (multiplicity 1)  2 Pt 2.38, 4 Te 2.56
4 Pt 0.5000 0.5000 0.0000 (multiplicity 1)  2 Mo 2.38

**Crystal system**: tetragonal
**E**: -238.16 eV per cell
**Uncorrected formation energy**: 819 meV per atom
**ρ**: 9673 kg/m3



[12]
A PBEsol-optimized structure of Tl4Bi, computed with meta-GGA SCAN.

a = 3.4804 Å, b = 3.4804 Å, c = 41.2931 Å
α = 90.00°, β = 90.00°, γ = 120.00°
Last column: nearest neighbours and their distance in Å.
Space group R-3m (No. 166, hexagonal axes)
Symmetry-distinct sites (fractional):
1 Tl 0.0000 0.0000 0.1000 (multiplicity 6)  9 Tl 3.41-3.48, 3 Bi 3.41
2 Tl 0.0000 0.0000 0.3000 (multiplicity 6)  12 Tl 3.41-3.48
3 Bi 0.0000 0.0000 0.5000 (multiplicity 3)  6 Tl 3.41, 6 Bi 3.48

**Crystal system**: trigonal
**E**: -1103.71 eV per cell
**Formation energy from the elements**: 0.022 eV/atom
**ρ**: 11805 kg/m3



[13]
A PBEsol-optimized structure of SrLaBi2Se, computed with meta-GGA SCAN.

a = 5.8057 Å, b = 5.8057 Å, c = 5.4915 Å
α = 90.00°, β = 90.00°, γ = 90.00°
Last column: nearest neighbours and their distance in Å.
Space group P4/mmm (No. 123)
Symmetry-distinct sites (fractional):
1 Sr 0.0000 0.0000 0.0000 (multiplicity 1)  2 Se 2.75, 4 Bi 2.90
2 La 0.5000 0.5000 0.5000 (multiplicity 1)  8 Bi 4.00, 4 Se 4.11
3 Bi 0.0000 0.5000 0.0000 (multiplicity 2)  2 Sr 2.90
4 Se 0.0000 0.0000 0.5000 (multiplicity 1)  2 Sr 2.75

**Crystal system**: tetragonal
**E**: -243.44 eV per cell
**Uncorrected formation energy**: -165 meV per atom
**ρ**: 6490 kg/m3



[14]
A PBEsol-optimized structure of KAl2Co, computed with meta-GGA SCAN.

a = 2.9102 Å, b = 2.9102 Å, c = 8.5646 Å
α = 90.00°, β = 90.00°, γ = 90.00°
Last column: nearest neighbours and their distance in Å.
Space group P4/mmm (No. 123)
Symmetry-distinct sites (fractional):
1 K 0.0000 0.0000 0.0000 (multiplicity 1)  4 K 2.91
2 Al 0.5000 0.5000 0.3380 (multiplicity 2)  4 Co 2.48, 1 Al 2.77
3 Co 0.0000 0.0000 0.5000 (multiplicity 1)  8 Al 2.48

**ΔE to the lowest computed polymorph**: 0.0 kJ per mole of atoms
**Crystal system**: tetragonal
**E**: -41.08 eV per cell
**Formation energy from the elements**: 0.014 eV/atom
**ρ**: 3479 kg/m3



[15]
A PBEsol-optimized structure of SrBeAu2, computed with meta-GGA SCAN.

a = 5.1823 Å, b = 5.1823 Å, c = 14.8921 Å
α = 90.00°, β = 90.00°, γ = 90.00°
Last column: nearest neighbours and their distance in Å.
Space group I4_1/amd (No. 141, origin choice 2)
Symmetry-distinct sites (fractional):
1 Sr 0.0000 0.2500 0.3750 (multiplicity 4)  8 Au 3.44, 4 Be 3.66
2 Be 0.0000 0.2500 0.8750 (multiplicity 4)  4 Au 2.27
3 Au 0.0000 0.0000 0.0000 (multiplicity 8)  2 Be 2.27

**Crystal system**: tetragonal
**E**: -668.52 eV per cell
**Formation energy from the elements**: -0.547 eV/atom
**ρ**: 8147 kg/m3



[16]
A PBEsol-optimized structure of RbHf2FeMo, computed with meta-GGA SCAN.

a = 4.8688 Å, b = 4.8688 Å, c = 4.5522 Å
α = 90.00°, β = 90.00°, γ = 90.00°
Last column: nearest neighbours and their distance in Å.
Space group P4/mmm (No. 123)
Symmetry-distinct sites (fractional):
1 Rb 0.0000 0.0000 0.0000 (multiplicity 1)  2 Mo 2.28, 4 Hf 2.43
2 Hf 0.0000 0.5000 0.0000 (multiplicity 2)  2 Rb 2.43
3 Fe 0.5000 0.5000 0.5000 (multiplicity 1)  8 Hf 3.33, 4 Mo 3.44
4 Mo 0.0000 0.0000 0.5000 (multiplicity 1)  2 Rb 2.28

**Crystal system**: tetragonal
**E**: -184.66 eV per cell
**Formation energy from the elements**: 2.889 eV/atom
**ρ**: 9144 kg/m3



[17]
A PBEsol-optimized structure of NaCdSeBr2, computed with meta-GGA SCAN.

a = 5.4900 Å, b = 5.4900 Å, c = 5.1860 Å
α = 90.00°, β = 90.00°, γ = 90.00°
Last column: nearest neighbours and their distance in Å.
Space group P4/mmm (No. 123)
Symmetry-distinct sites (fractional):
1 Na 0.0000 0.0000 0.0000 (multiplicity 1)  8 Br 3.78, 4 Se 3.88
2 Cd 0.5000 0.5000 0.5000 (multiplicity 1)  2 Se 2.59, 4 Br 2.74
3 Se 0.5000 0.5000 0.0000 (multiplicity 1)  2 Cd 2.59
4 Br 0.0000 0.5000 0.5000 (multiplicity 2)  2 Cd 2.74

**Crystal system**: tetragonal
**E**: -96.93 eV per cell
**Uncorrected formation energy**: -661 meV per atom
**ρ**: 3975 kg/m3



[18]
A PBEsol-optimized structure of Li2FeRh, computed with meta-GGA SCAN.

a = 2.8336 Å, b = 4.0875 Å, c = 4.3466 Å
α = 90.00°, β = 90.00°, γ = 90.00°
Last column: nearest neighbours and their distance in Å.
Space group Pmmm (No. 47)
Symmetry-distinct sites (fractional):
1 Li 0.0000 0.0000 0.0000 (multiplicity 1)  4 Li 2.49, 4 Rh 2.59
2 Li 0.5000 0.5000 0.0000 (multiplicity 1)  4 Li 2.49, 4 Fe 2.59
3 Fe 0.0000 0.5000 0.5000 (multiplicity 1)  4 Rh 2.49, 4 Li 2.59
4 Rh 0.5000 0.0000 0.5000 (multiplicity 1)  4 Fe 2.49, 4 Li 2.59

**Crystal system**: orthorhombic
**E**: -57.02 eV per cell
**Formation energy from the elements**: -0.084 eV/atom
**ρ**: 5694 kg/m3



[19]
A PBEsol-optimized structure of Mn2CdSi, computed with meta-GGA SCAN.

a = 5.5107 Å, b = 7.2261 Å, c = 2.7354 Å
α = 90.00°, β = 90.00°, γ = 90.00°
Last column: nearest neighbours and their distance in Å.
Space group Cmmm (No. 65)
Symmetry-distinct sites (fractional):
1 Mn 0.2500 0.2500 0.0000 (multiplicity 4)  4 Cd 2.65, 4 Si 2.65, 4 Mn 2.74-2.76
2 Cd 0.0000 0.0000 0.5000 (multiplicity 2)  8 Mn 2.65, 2 Cd 2.74, 2 Si 2.76
3 Si 0.0000 0.5000 0.5000 (multiplicity 2)  8 Mn 2.65, 2 Si 2.74, 2 Cd 2.76

**ΔE to the lowest computed polymorph**: 0.6 kJ per mole of atoms
**Crystal system**: orthorhombic
**E**: -153.68 eV per cell
**Uncorrected formation energy**: 25 meV per atom
**ρ**: 7634 kg/m3



[20]
A PBEsol-optimized structure of La2FeSi, computed with meta-GGA SCAN.

a = 4.0183 Å, b = 4.0183 Å, c = 22.5890 Å
α = 90.00°, β = 90.00°, γ = 120.00°
Last column: nearest neighbours and their distance in Å.
Space group R3m (No. 160, hexagonal axes)
Symmetry-distinct sites (fractional):
1 La 0.0000 0.0000 0.0000 (multiplicity 3)  3 Si 2.99, 3 Fe 2.99
2 La 0.0000 0.0000 0.1674 (multiplicity 3)  3 Fe 2.99, 3 Si 3.00
3 Fe 0.0000 0.0000 0.7504 (multiplicity 3)  3 Si 2.32
4 Si 0.0000 0.0000 0.4169 (multiplicity 3)  3 Fe 2.32

**Crystal system**: trigonal
**E**: -346.63 eV per cell
**Uncorrected formation energy**: -297 meV per atom
**ρ**: 5705 kg/m3